(1)
# ZrSi2I

ZrSi2I after structural relaxation (PBEsol, Alexandria).

Properties
Raw formation energy, meV per atom: 856
V, Å³ per cell: 246.6

```
ZrSi2I
1.0
-4.3089 -0.4639 4.5726
1.8683 -5.9035 1.1616
5.3610 5.3042 1.2499
I Si Zr
2 4 2
Direct
0.2500 0.7500 0.5000 I
0.0000 0.0000 0.0000 I
0.4064 0.8750 0.2500 Si
0.8436 0.3750 0.2500 Si
0.1250 0.1564 0.7500 Si
0.6250 0.5936 0.7500 Si
0.7500 0.2500 0.5000 Zr
0.5000 0.5000 0.0000 Zr
```

***

(2)
# Tl2HgBr

Tl2HgBr after structural relaxation (PBEsol, Alexandria).

Properties
Offset from the most stable computed form, meV per atom: 0
Raw formation energy, meV per atom: -304
V, Å³ per cell: 121.9

```
Tl2HgBr
1.0
-0.7092 -3.9699 2.0659
2.3072 -2.0307 -3.1102
4.5614 1.3037 4.0711
Tl Hg Br
2 1 1
Direct
0.0000 0.0000 0.0000 Tl
0.5000 0.5000 0.5000 Tl
0.0000 0.0000 0.5000 Hg
0.5000 0.5000 0.0000 Br
```

***

(3)
# SiIr3Ru

SiIr3Ru after structural relaxation (PBEsol, Alexandria).

Properties
Raw formation energy, meV per atom: 1195
V, Å³ per cell: 80.5

```
SiIr3Ru
1.0
4.3182 0.0000 0.0000
0.0000 4.3182 0.0000
0.0000 0.0000 4.3182
Ru Si Ir
1 1 3
Direct
0.5000 0.5000 0.5000 Ru
0.0000 0.0000 0.0000 Si
0.0000 0.5000 0.0000 Ir
0.0000 0.0000 0.5000 Ir
0.5000 0.0000 0.0000 Ir
```

***

(4)
# MgFe2Ru

MgFe2Ru after structural relaxation (PBEsol, Alexandria).

Properties
Calculated formation energy, kJ per mole of atoms: 19.7
V, Å³ per cell: 53.0

```
MgFe2Ru
1.0
-1.6793 1.5420 -1.8375
-1.8925 0.5266 2.1715
3.1132 5.1387 1.4671
Fe Mg Ru
2 1 1
Direct
0.0000 0.0000 0.0068 Fe
0.5000 0.5000 0.2105 Fe
0.0000 0.0000 0.4936 Mg
0.5000 0.5000 0.7891 Ru
```

***

(5)
# BeBi3Br

BeBi3Br after structural relaxation (PBEsol, Alexandria).

Properties
Raw formation energy, meV per atom: 1315
V, Å³ per cell: 176.8

```
BeBi3Br
1.0
5.6126 0.0000 0.0000
0.0000 5.6126 0.0000
0.0000 0.0000 5.6126
Be Bi Br
1 3 1
Direct
0.5000 0.5000 0.5000 Be
0.0000 0.5000 0.0000 Bi
0.0000 0.0000 0.5000 Bi
0.5000 0.0000 0.0000 Bi
0.0000 0.0000 0.0000 Br
```

***

(6)
# TcAsN2O

TcAsN2O after structural relaxation (PBEsol, Alexandria).

Properties
Raw formation energy, meV per atom: 361
V, Å³ per cell: 56.9

```
TcAsN2O
1.0
-2.4980 1.1863 2.4453
-2.8775 -0.8152 -2.5440
-0.2776 -3.6277 1.4764
As Tc O N
1 1 1 2
Direct
0.5000 0.5000 0.5000 As
0.0000 0.0000 0.0000 Tc
0.5000 0.0000 0.0000 O
0.0000 0.0000 0.5000 N
0.0000 0.5000 0.0000 N
```

***

(7)
# Na2TaTlRu

Na2TaTlRu after structural relaxation (PBEsol, Alexandria).

Properties
Calculated formation energy, kJ per mole of atoms: 181.2
V, Å³ per cell: 122.3

```
Na2TaTlRu
1.0
4.8894 0.0000 0.0000
0.0000 4.8894 0.0000
0.0000 0.0000 5.1158
Ru Tl Na Ta
1 1 2 1
Direct
0.0000 0.0000 0.5000 Ru
0.0000 0.0000 0.0000 Tl
0.0000 0.5000 0.0000 Na
0.5000 0.0000 0.0000 Na
0.5000 0.5000 0.5000 Ta
```

***

(8)
# CaNiBN

CaNiBN after structural relaxation (PBEsol, Alexandria).

Properties
Raw formation energy, meV per atom: -958
V, Å³ per cell: 91.5

```
CaNiBN
1.0
-0.3740 -1.4410 -3.1519
-2.8312 -1.7014 1.1138
-4.3172 5.7872 -2.1336
Ni Ca B N
2 2 2 2
Direct
0.0000 0.0000 0.5000 Ni
0.5000 0.5000 0.5000 Ni
0.0000 0.5000 0.8415 Ca
0.5000 0.0000 0.1585 Ca
0.0000 0.5000 0.3485 B
0.5000 0.0000 0.6515 B
0.5000 0.0000 0.8368 N
0.0000 0.5000 0.1632 N
```

***

(9)
# BaZr3

BaZr3 after structural relaxation (PBEsol, Alexandria).

Properties
Calculated formation energy, kJ per mole of atoms: 33.4
Offset from the most stable computed form, meV per atom: 0
V, Å³ per cell: 109.1

```
BaZr3
1.0
3.7691 0.0000 0.0000
0.0000 3.7719 0.0000
0.0000 0.0000 7.6745
Ba Zr
1 3
Direct
0.0000 0.0000 0.0000 Ba
0.5000 0.5000 0.6872 Zr
0.0000 0.0000 0.5000 Zr
0.5000 0.5000 0.3128 Zr
```

***

(10)
# K3Cr4PO16

K3Cr4PO16 after structural relaxation (PBEsol, Alexandria).

Properties
Raw formation energy, meV per atom: -1879
V, Å³ per cell: 788.2

```
K3Cr4PO16
1.0
7.4921 0.0355 -0.0316
-1.5499 7.3301 -0.0316
-2.5949 -3.2165 14.3663
K Cr P O
6 8 2 32
Direct
0.2446 0.3259 0.8341 K
0.3259 0.2446 0.3341 K
0.8135 0.8408 0.3381 K
0.8408 0.8135 0.8381 K
0.1174 0.5799 0.1134 K
0.5799 0.1174 0.6134 K
0.7917 0.3308 0.8581 Cr
0.5888 0.7159 0.0589 Cr
0.2838 0.8136 0.7318 Cr
0.2362 0.1182 0.0524 Cr
0.7159 0.5888 0.5589 Cr
0.8136 0.2838 0.2318 Cr
0.3308 0.7917 0.3581 Cr
0.1182 0.2362 0.5524 Cr
0.6486 0.1192 0.0173 P
0.1192 0.6486 0.5173 P
0.5058 0.9026 0.7605 O
0.5010 0.9682 0.4108 O
0.1352 0.0865 0.4644 O
0.4120 0.6218 0.3139 O
0.2356 0.6084 0.7509 O
0.6218 0.4120 0.8139 O
0.2300 0.2627 0.1448 O
0.1856 0.7143 0.4355 O
0.0865 0.1352 0.9644 O
0.9682 0.5010 0.9108 O
0.2627 0.2300 0.6448 O
0.9451 0.1755 0.2876 O
0.6143 0.7567 0.5535 O
0.1984 0.8517 0.2773 O
0.6084 0.2356 0.2509 O
0.8053 0.5921 0.6651 O
0.4658 0.1763 0.0254 O
0.7567 0.6143 0.0535 O
0.5697 0.3916 0.5098 O
0.8014 0.2101 0.1068 O
0.9088 0.1949 0.5667 O
0.1763 0.4658 0.5254 O
0.9045 0.6218 0.4948 O
0.7143 0.1856 0.9355 O
0.5921 0.8053 0.1651 O
0.1949 0.9088 0.0667 O
0.2101 0.8014 0.6068 O
0.9026 0.5058 0.2605 O
0.8517 0.1984 0.7773 O
0.1755 0.9451 0.7876 O
0.3916 0.5697 0.0098 O
0.6218 0.9045 0.9948 O
```

***

(11)
# SrAl3Fe

SrAl3Fe after structural relaxation (PBEsol, Alexandria).

Properties
Calculated formation energy, kJ per mole of atoms: -25.5
V, Å³ per cell: 95.9

```
SrAl3Fe
1.0
4.5772 0.0000 0.0000
0.0000 4.5772 0.0000
0.0000 0.0000 4.5772
Sr Fe Al
1 1 3
Direct
0.5000 0.5000 0.5000 Sr
0.0000 0.0000 0.0000 Fe
0.0000 0.5000 0.0000 Al
0.0000 0.0000 0.5000 Al
0.5000 0.0000 0.0000 Al
```

***

(12)
# Sr2AsRuCl

Sr2AsRuCl after structural relaxation (PBEsol, Alexandria).

Properties
Raw formation energy, meV per atom: -538
V, Å³ per cell: 155.7

```
Sr2AsRuCl
1.0
-3.1153 3.1521 -0.3985
-3.1492 -3.5580 -3.5250
-2.8157 -2.1858 4.7219
Ru As Cl Sr
1 1 1 2
Direct
0.5000 0.0000 0.0000 Ru
0.0000 0.0000 0.0000 As
0.5000 0.5000 0.5000 Cl
0.0000 0.0000 0.5000 Sr
0.0000 0.5000 0.0000 Sr
```

***

(13)
# CrCoC2

CrCoC2 after structural relaxation (PBEsol, Alexandria).

Properties
Calculated formation energy, kJ per mole of atoms: 76.2
V, Å³ per cell: 30.1

```
CrCoC2
1.0
-0.0580 0.2285 3.4827
0.2533 -2.8888 1.9431
2.9024 -0.6180 1.8383
Cr C Co
1 2 1
Direct
0.0000 0.0000 0.0000 Cr
0.2500 0.2500 0.2500 C
0.7500 0.7500 0.7500 C
0.5000 0.5000 0.5000 Co
```

***

(14)
# LiCu2Ir

LiCu2Ir after structural relaxation (PBEsol, Alexandria).

Properties
Calculated formation energy, kJ per mole of atoms: -5.6
Offset from the most stable computed form, meV per atom: 0
V, Å³ per cell: 48.9

```
LiCu2Ir
1.0
-2.2276 0.0297 1.4136
-1.3236 -3.6801 -2.0084
2.2428 -1.2718 3.5611
Ir Cu Li
1 2 1
Direct
0.5000 0.5000 0.5000 Ir
0.0000 0.0000 0.5000 Cu
0.0000 0.5000 0.0000 Cu
0.5000 0.0000 0.0000 Li
```

***

(15)
# CaTaRu2

CaTaRu2 after structural relaxation (PBEsol, Alexandria).

Properties
Calculated formation energy, kJ per mole of atoms: -12.5
V, Å³ per cell: 68.3

```
CaTaRu2
1.0
-0.8554 0.0589 -3.0404
1.5875 -2.6851 -0.4987
-5.6165 -3.6012 1.5104
Ru Ca Ta
2 1 1
Direct
0.0000 0.0000 0.7877 Ru
0.0000 0.0000 0.2123 Ru
0.5000 0.5000 0.5000 Ca
0.5000 0.5000 0.0000 Ta
```

***

(16)
# CaPt2CI

CaPt2CI after structural relaxation (PBEsol, Alexandria).

Properties
Raw formation energy, meV per atom: -60
V, Å³ per cell: 103.8

```
CaPt2CI
1.0
-2.7187 1.7132 2.4147
-2.9157 -2.1187 -1.7796
0.8223 -4.7252 4.2784
I Ca C Pt
1 1 1 2
Direct
0.0000 0.0000 0.5000 I
0.5000 0.5000 0.5000 Ca
0.0000 0.0000 0.0000 C
0.0000 0.5000 0.0000 Pt
0.5000 0.0000 0.0000 Pt
```

***

(17)
# B2TePd

B2TePd after structural relaxation (PBEsol, Alexandria).

Properties
Raw formation energy, meV per atom: 633
V, Å³ per cell: 126.1

```
B2TePd
1.0
-4.6965 1.9713 0.4935
-0.2391 -1.7701 4.7955
4.3662 4.0180 -1.0296
B Te Pd
4 2 2
Direct
0.4093 0.8750 0.2500 B
0.8407 0.3750 0.2500 B
0.1250 0.1593 0.7500 B
0.6250 0.5907 0.7500 B
0.2500 0.7500 0.5000 Te
0.0000 0.0000 0.0000 Te
0.7500 0.2500 0.5000 Pd
0.5000 0.5000 0.0000 Pd
```

***

(18)
# RbGaRe3

RbGaRe3 after structural relaxation (PBEsol, Alexandria).

Properties
Calculated formation energy, kJ per mole of atoms: 398.3
V, Å³ per cell: 101.2

```
RbGaRe3
1.0
4.6599 0.0000 0.0000
0.0000 4.6599 0.0000
0.0000 0.0000 4.6599
Re Ga Rb
3 1 1
Direct
0.0000 0.5000 0.0000 Re
0.0000 0.0000 0.5000 Re
0.5000 0.0000 0.0000 Re
0.5000 0.5000 0.5000 Ga
0.0000 0.0000 0.0000 Rb
```

***

(19)
# Ni3AgSb

Ni3AgSb after structural relaxation (PBEsol, Alexandria).

Properties
Raw formation energy, meV per atom: 1219
V, Å³ per cell: 91.7

```
Ni3AgSb
1.0
4.5101 0.0000 0.0000
0.0000 4.5101 0.0000
0.0000 0.0000 4.5101
Sb Ag Ni
1 1 3
Direct
0.5000 0.5000 0.5000 Sb
0.0000 0.0000 0.0000 Ag
0.0000 0.5000 0.0000 Ni
0.0000 0.0000 0.5000 Ni
0.5000 0.0000 0.0000 Ni
```

***

(20)
# BaCdPF

BaCdPF after structural relaxation (PBEsol, Alexandria).

Properties
Raw formation energy, meV per atom: -1823
V, Å³ per cell: 175.1

```
BaCdPF
1.0
4.3083 0.0000 0.0000
0.0000 4.3083 0.0000
0.0000 0.0000 9.4324
P F Ba Cd
2 2 2 2
Direct
0.0000 0.5000 0.3295 P
0.5000 0.0000 0.6705 P
0.5000 0.5000 0.0000 F
0.0000 0.0000 0.0000 F
0.0000 0.5000 0.8392 Ba
0.5000 0.0000 0.1608 Ba
0.5000 0.5000 0.5000 Cd
0.0000 0.0000 0.5000 Cd
```

***

(21)
# LiCoAu4

LiCoAu4 after structural relaxation (PBEsol, Alexandria).

Properties
Calculated formation energy, kJ per mole of atoms: 23.9
V, Å³ per cell: 108.1

```
LiCoAu4
1.0
5.3462 0.0000 0.0000
2.6731 4.6300 0.0000
2.6731 1.5433 4.3652
Au Co Li
4 1 1
Direct
0.3751 0.3751 0.3751 Au
0.3751 0.3751 0.8746 Au
0.8746 0.3751 0.3751 Au
0.3751 0.8746 0.3751 Au
0.7500 0.7500 0.7500 Co
0.0000 0.0000 0.0000 Li
```

***

(22)
# Be12Co

Be12Co after structural relaxation (PBEsol, Alexandria).

Properties
Calculated formation energy, kJ per mole of atoms: -2.9
V, Å³ per cell: 103.2

```
Be12Co
1.0
-0.9255 0.6984 3.8992
0.0719 -4.5577 2.9553
4.4133 1.0905 2.9741
Be Co
12 1
Direct
0.5000 0.0000 0.5000 Be
0.0000 0.0000 0.5000 Be
0.5000 0.5000 0.0000 Be
0.0000 0.5000 0.0000 Be
0.0000 0.6550 0.3450 Be
0.0000 0.3450 0.6550 Be
0.6550 0.3450 0.3450 Be
0.3450 0.6550 0.6550 Be
0.5000 0.2123 0.7877 Be
0.5000 0.7877 0.2123 Be
0.7123 0.7877 0.7877 Be
0.2877 0.2123 0.2123 Be
0.0000 0.0000 0.0000 Co
```

***

(23)
# RhWF2

RhWF2 after structural relaxation (PBEsol, Alexandria).

Properties
Raw formation energy, meV per atom: 369
V, Å³ per cell: 47.0

```
RhWF2
1.0
4.0505 0.0000 0.0000
2.0252 3.5078 0.0000
2.0252 1.1693 3.3072
Rh W F
1 1 2
Direct
0.0000 0.0000 0.0000 Rh
0.5000 0.5000 0.5000 W
0.2500 0.2500 0.2500 F
0.7500 0.7500 0.7500 F
```

***

(24)
# SiPb2Br

SiPb2Br after structural relaxation (PBEsol, Alexandria).

Properties
Offset from the most stable computed form, meV per atom: 185
Raw formation energy, meV per atom: 184
V, Å³ per cell: 102.4

```
SiPb2Br
1.0
3.5372 0.0000 0.0000
0.0000 3.5372 0.0000
0.0000 0.0000 8.1803
Br Pb Si
1 2 1
Direct
0.5000 0.5000 0.7382 Br
0.0000 0.0000 0.9922 Pb
0.5000 0.5000 0.2813 Pb
0.0000 0.0000 0.4884 Si
```

***

(25)
# ReC2

ReC2 after structural relaxation (PBEsol, Alexandria).

Properties
Calculated formation energy, kJ per mole of atoms: 83.9
Offset from the most stable computed form, meV per atom: 237
V, Å³ per cell: 56.7

```
ReC2
1.0
-0.6955 0.6414 2.4960
-1.9961 -1.7693 -0.1015
6.2036 -5.0774 1.6061
Re C
2 4
Direct
0.7500 0.2500 0.5000 Re
0.5000 0.5000 0.0000 Re
0.1020 0.6020 0.2041 C
0.1480 0.1480 0.2959 C
0.3980 0.8980 0.7959 C
0.8520 0.8520 0.7041 C
```

***

(26)
# BeIr2Pb

BeIr2Pb after structural relaxation (PBEsol, Alexandria).

Properties
Calculated formation energy, kJ per mole of atoms: 25.2
Offset from the most stable computed form, meV per atom: 0
V, Å³ per cell: 59.7

```
BeIr2Pb
1.0
2.8980 0.0000 0.0000
0.0000 4.7703 0.0000
-1.4490 -2.3851 4.3183
Pb Be Ir
1 1 2
Direct
0.5000 0.0000 0.0000 Pb
0.0000 0.5000 0.0000 Be
0.7124 0.7124 0.4248 Ir
0.2876 0.2876 0.5752 Ir
```